A relaxed BeAlTl crystal, computed with PBE-GGA.

Cell lengths 3.0907, 3.0907, 11.7680 Å; angles 90.00, 90.00, 90.00 degrees
Closest atoms and distances in Å follow each position.
Fractional positions:
Be  0.0000  0.0000  0.0000  4 Al 2.50
Be  0.5000  0.5000  0.5000  4 Al 2.50
Al  0.0000  0.0000  0.6034  4 Be 2.50
Al  0.5000  0.5000  0.1034  4 Be 2.50
Tl  0.0000  0.0000  0.3182  4 Be 3.06, 4 Tl 3.09, 5 Al 3.34-3.36
Tl  0.5000  0.5000  0.8182  4 Be 3.06, 4 Tl 3.09, 5 Al 3.34-3.36

Values from the calculation:
Its energy is -8.361 eV/f.u. The value obtained for the energy relative to the elements is 491 meV per atom. The calculation puts the magnetization at 0.000 μB per atom.

A relaxed Be2AlTl crystal, computed with PBE-GGA.

Cell lengths 6.8906, 4.0080, 5.4570 Å; angles 90.00, 90.40, 90.00 degrees
Closest atoms and distances in Å follow each position.
Fractional positions:
Be  0.1670  0.0000  0.9999  3 Al 2.29-2.31, 3 Be 2.30-2.31
Be  0.3330  0.5000  0.0001  3 Al 2.29-2.31, 3 Be 2.30-2.31
Be  0.6670  0.5000  0.9999  3 Al 2.29-2.31, 3 Be 2.30-2.31
Be  0.8330  0.0000  0.0001  3 Al 2.29-2.31, 3 Be 2.30-2.31
Al  0.0000  0.5000  0.0000  6 Be 2.29-2.31
Al  0.5000  0.0000  0.0000  6 Be 2.29-2.31
Tl  0.0000  0.0000  0.5000  4 Be 2.95-2.97
Tl  0.5000  0.5000  0.5000  4 Be 2.95-2.97

Values from the calculation:
Its energy is -12.149 eV/f.u. The calculation puts the energy above the most stable polymorph in this dataset at 0.057 eV/atom. The value obtained for the energy relative to the elements is 353 meV per atom. The calculation puts the magnetization at 0.000 μB per atom.

A relaxed BeAlTl2 crystal, computed with PBE-GGA.

Cell lengths 4.1334, 4.1334, 10.2841 Å; angles 90.00, 90.00, 90.00 degrees
Closest atoms and distances in Å follow each position.
Fractional positions:
Be  0.0000  0.0000  0.0000  4 Tl 2.92
Be  0.5000  0.5000  0.5000  4 Tl 2.92
Al  0.0000  0.5000  0.2500  4 Tl 2.92
Al  0.5000  0.0000  0.7500  4 Tl 2.92
Tl  0.0000  0.0000  0.5000  4 Be 2.92
Tl  0.0000  0.5000  0.7500  4 Al 2.92
Tl  0.5000  0.0000  0.2500  4 Al 2.92
Tl  0.5000  0.5000  0.0000  4 Be 2.92

Values from the calculation:
Its energy is -9.735 eV/f.u. The calculation puts the energy above the most stable polymorph in this dataset at 0.253 eV/atom. The value obtained for the energy relative to the elements is 617 meV per atom. The calculation puts the magnetization at 0.000 μB per atom.

A relaxed BeAlTl crystal, computed with PBE-GGA.

Cell lengths 3.8197, 3.8323, 10.3871 Å; angles 79.42, 79.52, 60.12 degrees
Closest atoms and distances in Å follow each position.
Fractional positions:
Be  0.0000  0.0000  0.0000  3 Be 2.21-2.22, 3 Al 2.38-2.39
Be  0.3323  0.3305  0.0063  3 Be 2.21-2.22, 3 Al 2.41-2.42
Al  0.0795  0.0861  0.7510  1 Be 2.53, 3 Al 2.74-2.75
Al  0.6960  0.6963  0.9111  6 Be 2.38-2.42
Tl  0.6004  0.5889  0.2181  6 Be 3.07-3.14, 1 Al 3.12
Tl  0.8205  0.8193  0.5379  3 Al 3.08-3.10

Values from the calculation:
Its energy is -9.117 eV/f.u. The value obtained for the energy relative to the elements is 239 meV per atom. The calculation puts the magnetization at 0.000 μB per atom.